Cs2HgTe6 | PBE-GGA | relaxed

a b c (Å): 7.7567 7.7567 6.6045
angles (deg): 91.80 91.80 104.32
Closest atoms and distances in Å follow each position.
Sites, in units of the cell vectors:
Cs 0.1865 0.1865 0.3180  1 Hg 3.74, 10 Te 4.01-4.15
Cs 0.8135 0.8135 0.6820  1 Hg 3.74, 10 Te 4.01-4.15
Hg 0.5000 0.5000 0.0000  2 Cs 3.74, 4 Te 4.03
Te 0.0197 0.6193 0.1756  2 Te 2.87-2.88
Te 0.2846 0.7154 0.5000  2 Te 2.87
Te 0.3807 0.9803 0.8244  2 Te 2.87-2.88
Te 0.6193 0.0197 0.1756  2 Te 2.87-2.88
Te 0.7154 0.2846 0.5000  2 Te 2.87
Te 0.9803 0.3807 0.8244  2 Te 2.87-2.88

uncorrected formation energy = -3.16 eV per formula unit
DOS(E_F) = 2.0 states/eV/f.u.
uncorrected energy = -2.67 eV per atom
spin magnetization = 0.0 Bohr magnetons per cell
space-group type = C2/m (12)